Below is a relaxed structure of CdRu2, with properties calculated at the GGA-PBE level.

Summary:
Electronic total energy   -5.915 eV/atom
Energy above the most stable polymorph in this dataset   401 meV per atom
Energy relative to the elements   0.574 eV/atom

Lattice parameters (Å, degrees): 7.7030 7.7030 2.7643 90.00 90.00 120.00
Space group P-62m (No. 189)
Unique sites:
Cd  0.0000  0.0000  0.0000
Cd  0.3333  0.6667  0.5000
Ru  0.0000  0.3126  0.5000
Ru  0.0000  0.6463  0.0000